The following is a PBE calculation of Be2CrMo2 after structural relaxation, from Alexandria via LeMat-Bulk.

extended XYZ file:
```
5
Lattice="-1.7718 1.7718 5.1742 1.7718 -1.7718 5.1742 1.7718 1.7718 -5.1742" Properties=species:S:1:pos:R:3 pbc="T T T"
Be 0.0000 0.0000 0.9333
Be 0.0000 0.0000 9.4150
Cr 0.0000 0.0000 5.1742
Mo 1.7718 0.0000 2.5871
Mo 0.0000 1.7718 2.5871
```

Calculated values
spin magnetization: 0.00 μB per formula unit
E: -7.28 eV/atom
theoretical density: 6.7 g/cm3
polymorph energy (0 for the lowest one): 0.6184 eV/atom
formation energy from the elements: 469 meV/atom